Record 1
Computed, not measured: a geometry-optimized FeAs2Cl structure at the PBE-GGA level of DFT.

The energy above the most stable polymorph in this dataset comes out at 1.41 eV/f.u. For the volume, the calculation gives 18.5 A^3/atom. The uncorrected formation energy comes out at 0.220 eV per atom. The magnetization comes out at 5.5 μB per cell. The density of states at the Fermi level comes out at 6.5 states/eV/cell.

The space group is Immm (No. 71) and the conventional cell measures 2.957, 4.649 and 10.753 Å, with angles of 90.00, 90.00 and 90.00 degrees. The inequivalent atoms are Fe at (0.000, 0.000, 0.000), As at (0.000, 0.500, 0.309) and Cl at (0.000, 0.000, 0.500).


Record 2
Computed, not measured: a geometry-optimized Sm2SnGe structure at the PBE-GGA level of DFT.

Its calculated formation energy is -0.806 eV/atom. For the volume, the calculation gives 26.8 A^3/atom. The magnetization comes out at 0.0 μB per cell. The density of states at the Fermi level comes out at 5.4 states/eV/cell.

The space group is P2_1/m (No. 11) and the conventional cell measures 6.117, 4.174 and 8.831 Å, with angles of 90.00, 107.89 and 90.00 degrees. The inequivalent atoms are Sm at (0.193, 0.250, 0.423), Sm at (0.281, 0.750, 0.060), Sn at (0.380, 0.750, 0.708) and Ge at (0.116, 0.250, 0.796).


Record 3
Computed, not measured: a geometry-optimized SiHRh2Pb structure at the PBE-GGA level of DFT.

For the volume, the calculation gives 27.1 A^3/atom. As for the total energy: -17.3 eV per cell. The magnetization comes out at 0.8 μB per cell. The density of states at the Fermi level comes out at 5.8 states/eV/cell.

The space group is P4/mmm (No. 123) and the conventional cell measures 5.089, 5.089 and 5.238 Å, with angles of 90.00, 90.00 and 90.00 degrees. The inequivalent atoms are Si at (0.000, 0.000, 0.000), H at (0.500, 0.500, 0.000), Rh at (0.000, 0.500, 0.500) and Pb at (0.000, 0.000, 0.500).


Record 4
Computed, not measured: a geometry-optimized LiHgGe2 structure at the PBE-GGA level of DFT.

Its calculated formation energy is -0.004 eV/atom. For the volume, the calculation gives 19.1 A^3/atom. The magnetization comes out at 0.0 μB per cell. The density of states at the Fermi level comes out at 1.5 states/eV/cell.

The space group is P4/mmm (No. 123) and the conventional cell measures 4.224, 4.224 and 4.285 Å, with angles of 90.00, 90.00 and 90.00 degrees. The inequivalent atoms are Li at (0.000, 0.000, 0.000), Hg at (0.500, 0.500, 0.000) and Ge at (0.000, 0.500, 0.500).


Record 5
Computed, not measured: a geometry-optimized Zr2CoAu structure at the PBE-GGA level of DFT.

The energy above the most stable polymorph in this dataset comes out at 1.41 eV/f.u. Its calculated formation energy is -0.032 eV/atom. For the volume, the calculation gives 19.0 A^3/atom. The magnetization comes out at 0.0 μB per cell. The density of states at the Fermi level comes out at 7.5 states/eV/cell.

The space group is I-42d (No. 122) and the conventional cell measures 7.359, 7.359 and 5.601 Å, with angles of 90.00, 90.00 and 90.00 degrees. The inequivalent atoms are Zr at (0.209, 0.250, 0.125), Co at (0.000, 0.000, 0.000) and Au at (0.000, 0.000, 0.500).


Record 6
Computed, not measured: a geometry-optimized PmSm2DyHo4 structure at the PBE-GGA level of DFT.

Its calculated formation energy is 0.427 eV/atom. For the volume, the calculation gives 33.3 A^3/atom. The magnetization comes out at 13.2 μB per cell. The density of states at the Fermi level comes out at 69.5 states/eV/cell.

The space group is Imma (No. 74) and the conventional cell measures 6.810, 11.793 and 13.263 Å, with angles of 90.00, 90.00 and 90.00 degrees. The inequivalent atoms are Pm at (0.000, 0.000, 0.000), Sm at (0.000, 0.000, 0.500), Sm at (0.250, 0.250, 0.250), Dy at (0.250, 0.250, 0.750), Ho at (0.000, 0.002, 0.750) and Ho at (0.250, 0.250, 0.502).


Record 7
Computed, not measured: a geometry-optimized Sr4Bi2Sb2Au structure at the PBE-GGA level of DFT.

For the volume, the calculation gives 36.0 A^3/atom. The uncorrected formation energy comes out at -0.792 eV per atom. The magnetization comes out at 0.0 μB per cell. The density of states at the Fermi level comes out at 1.2 states/eV/cell.

The space group is C2/m (No. 12) and the conventional cell measures 13.602, 9.012 and 5.289 Å, with angles of 90.00, 92.94 and 90.00 degrees. The inequivalent atoms are Sr at (0.133, 0.244, 0.242), Bi at (0.063, 0.500, 0.756), Sb at (0.178, 0.000, 0.755) and Au at (0.000, 0.000, 0.500).


Record 8
Computed, not measured: a geometry-optimized Sc2NiBr structure at the PBE-GGA level of DFT.

The energy above the most stable polymorph in this dataset comes out at 2.91 eV/f.u. For the volume, the calculation gives 20.9 A^3/atom. The uncorrected formation energy comes out at 0.019 eV per atom. The magnetization comes out at 0.0 μB per cell. The density of states at the Fermi level comes out at 13.9 states/eV/cell.

The space group is R-3m (No. 166, hexagonal axes) and the conventional cell measures 3.2285, 3.2285 and 27.7686 Å, with angles of 90.00, 90.00 and 120.00 degrees. The inequivalent atoms are Sc at (0.0000, 0.0000, 0.0856), Ni at (0.0000, 0.0000, 0.0000) and Br at (0.0000, 0.0000, 0.5000).


Record 9
Computed, not measured: a geometry-optimized La2PdBr structure at the PBE-GGA level of DFT.

The energy above the most stable polymorph in this dataset comes out at 1.02 eV/f.u. For the volume, the calculation gives 26.3 A^3/atom. The uncorrected formation energy comes out at -0.819 eV per atom. The magnetization comes out at 3.9 μB per cell. The density of states at the Fermi level comes out at 18.2 states/eV/cell.

The space group is Fm-3m (No. 225) and the conventional cell measures 7.490, 7.490 and 7.490 Å, with angles of 90.00, 90.00 and 90.00 degrees. The inequivalent atoms are La at (0.250, 0.250, 0.250), Pd at (0.000, 0.000, 0.000) and Br at (0.000, 0.000, 0.500).


Record 10
Computed, not measured: a geometry-optimized YMg5 structure at the PBE-GGA level of DFT.

Its calculated formation energy is -0.025 eV/atom. For the volume, the calculation gives 24.7 A^3/atom. The magnetization comes out at 0.0 μB per cell. The density of states at the Fermi level comes out at 6.5 states/eV/cell.

The space group is C2/m (No. 12) and the conventional cell measures 11.713, 3.839 and 6.926 Å, with angles of 90.00, 107.63 and 90.00 degrees. The inequivalent atoms are Y at (0.000, 0.000, 0.000), Mg at (0.000, 0.000, 0.500), Mg at (0.173, 0.500, 0.344) and Mg at (0.174, 0.500, 0.828).


Record 11
Computed, not measured: a geometry-optimized Er2ScCdC structure at the PBE-GGA level of DFT.

Its calculated formation energy is -0.391 eV/atom. For the volume, the calculation gives 21.8 A^3/atom. The magnetization comes out at 0.0 μB per cell. The density of states at the Fermi level comes out at 5.3 states/eV/cell.

The space group is P4/mmm (No. 123) and the conventional cell measures 4.935, 4.935 and 4.474 Å, with angles of 90.00, 90.00 and 90.00 degrees. The inequivalent atoms are Er at (0.000, 0.500, 0.000), Sc at (0.000, 0.000, 0.500), Cd at (0.500, 0.500, 0.500) and C at (0.000, 0.000, 0.000).